(1)
Material: LiSiIr2Au
Method: DFT, GGA-PBE
State: optimized geometry

Computed properties:
Uncorrected energy (eV/atom): -4.7914
V (Å³ per cell): 74.49
Spin magnetization (μB/atom): 0.00
Raw formation energy (kJ/mol of formula units): 423

POSCAR file:
```
LiSiIr2Au
1.0
4.2473 0.0000 0.0000
0.0000 4.2473 0.0000
0.0000 0.0000 4.1294
Li Si Ir Au
1 1 2 1
Cartesian
0.0000 0.0000 0.0000
2.1237 2.1237 2.0647
0.0000 2.1237 0.0000
2.1237 0.0000 0.0000
0.0000 0.0000 2.0647
```

---

(2)
Material: LiSnIrAu
Method: DFT, GGA-PBE
State: optimized geometry

Computed properties:
Uncorrected energy (eV/atom): -4.7705
V (Å³ per cell): 66.73
Spin magnetization (μB/atom): 0.00
ΔE_f (kJ/mol of formula units): -99.1

POSCAR file:
```
LiSnIrAu
1.0
0.0000 3.2194 3.2194
3.2194 0.0000 3.2194
3.2194 3.2194 0.0000
Li Sn Ir Au
1 1 1 1
Cartesian
0.0000 0.0000 0.0000
1.6097 1.6097 1.6097
3.2194 3.2194 3.2194
4.8290 4.8290 4.8290
```

---

(3)
Material: SrLiIr2Au
Method: DFT, GGA-PBE
State: optimized geometry

Computed properties:
Uncorrected energy (eV/atom): -3.1310
V (Å³ per cell): 145.95
Spin magnetization (μB/atom): 0.10
ΔE_f (kJ/mol of formula units): 862.6

POSCAR file:
```
SrLiIr2Au
1.0
5.0974 0.0000 0.0000
0.0000 5.0974 0.0000
0.0000 0.0000 5.6168
Sr Li Ir Au
1 1 2 1
Cartesian
0.0000 0.0000 0.0000
2.5487 2.5487 2.8084
0.0000 2.5487 0.0000
2.5487 0.0000 0.0000
0.0000 0.0000 2.8084
```

---

(4)
Material: LiTbIrAu
Method: DFT, GGA-PBE
State: optimized geometry

Computed properties:
Uncorrected energy (eV/atom): -5.1710
V (Å³ per cell): 74.97
Spin magnetization (μB/atom): 0.00
ΔE_f (kJ/mol of formula units): -193.1

POSCAR file:
```
LiTbIrAu
1.0
0.0000 3.3467 3.3467
3.3467 0.0000 3.3467
3.3467 3.3467 0.0000
Li Tb Ir Au
1 1 1 1
Cartesian
0.0000 0.0000 0.0000
3.3467 3.3467 3.3467
1.6733 1.6733 1.6733
5.0200 5.0200 5.0200
```